Compound: La2BiP
Source: the Alexandria database
Functional: PBE
Structure: optimized geometry

Summary:
SG: Pmmn, No. 59
Energy of formation (meV per atom): -1104
Final energy (eV per atom): -5.89
Spin magnetization (μB per cell): 0.00

a b c (Å): 4.378 7.725 7.792
angles (deg): 90.00 90.00 90.00
Atoms (fractional coordinates):
1 La 0.250 0.008 0.224
2 La 0.250 0.492 0.224
3 La 0.750 0.508 0.776
4 La 0.750 0.992 0.776
5 Bi 0.250 0.250 0.579
6 Bi 0.750 0.750 0.421
7 P 0.250 0.750 0.921
8 P 0.750 0.250 0.079


Compound: Pa3Al2Co6
Source: the Alexandria database
Functional: PBE
Structure: optimized geometry

Summary:
SG: Im-3m, No. 229
Energy of formation (meV per atom): -467
Final energy (eV per atom): -7.61
Spin magnetization (μB per cell): 1.92

a b c (Å): 7.590 7.590 7.590
angles (deg): 109.47 109.47 109.47
Atoms (fractional coordinates):
1 Pa 0.000 0.286 0.286
2 Pa 0.000 0.714 0.714
3 Pa 0.286 0.000 0.286
4 Pa 0.286 0.286 0.000
5 Pa 0.714 0.000 0.714
6 Pa 0.714 0.714 0.000
7 Al 0.000 0.000 0.500
8 Al 0.000 0.500 0.000
9 Al 0.500 0.000 0.000
10 Al 0.500 0.500 0.500
11 Co 0.000 0.351 0.649
12 Co 0.000 0.649 0.351
13 Co 0.298 0.649 0.649
14 Co 0.351 0.000 0.649
15 Co 0.351 0.351 0.702
16 Co 0.351 0.649 0.000
17 Co 0.351 0.702 0.351
18 Co 0.649 0.000 0.351
19 Co 0.649 0.298 0.649
20 Co 0.649 0.351 0.000
21 Co 0.649 0.649 0.298
22 Co 0.702 0.351 0.351


Compound: Pm2BN3
Source: the Alexandria database
Functional: PBE
Structure: optimized geometry

Summary:
SG: Immm, No. 71
Final energy (eV per atom): -7.71
Spin magnetization (μB per cell): 0.00
ΔE_f (raw) (meV/atom): -854

a b c (Å): 6.167 6.167 6.167
angles (deg): 147.66 139.34 52.89
Atoms (fractional coordinates):
1 Pm 0.146 0.146 0.000
2 Pm 0.854 0.854 0.000
3 B 0.500 0.500 0.000
4 N 0.000 0.500 0.500
5 N 0.368 0.368 0.000
6 N 0.632 0.632 0.000


Compound: PaTe3
Source: the Alexandria database
Functional: PBE
Structure: optimized geometry

Summary:
SG: P6_3/mmc, No. 194
Final energy (eV per atom): -5.15
Spin magnetization (μB per cell): 0.39
ΔE_f (raw) (meV/atom): -422

a b c (Å): 6.698 6.698 5.668
angles (deg): 90.00 90.00 120.00
Atoms (fractional coordinates):
1 Pa 0.333 0.667 0.250
2 Pa 0.667 0.333 0.750
3 Te 0.176 0.352 0.750
4 Te 0.176 0.824 0.750
5 Te 0.352 0.176 0.250
6 Te 0.648 0.824 0.750
7 Te 0.824 0.176 0.250
8 Te 0.824 0.648 0.250


The lowest final energy belongs to which entry? Pm2BN3


What is the spin magnetization in the third record? 0.00 μB per cell